Material: CeZrV2O6
Method: DFT, PBE+U
State: optimized geometry

Output
- Calculated volume: 12.8 Å³/atom
- DOS(E_F): 0.2081 states/eV/atom
- Final energy: -86.1 eV for the cell shown
- Crystal system: trigonal

Cell: 5.492 5.491 5.837 Å, 61.93 61.94 59.99°
Site moments in Bohr magnetons follow the coordinates.
Fractional positions:
Ce 0.804 0.804 0.587  0.57
Zr 0.311 0.311 0.066  0.05
V 0.516 0.516 0.452  2.49
V 0.014 0.014 0.958  2.48
O 0.612 0.237 0.234  -0.01
O 0.236 0.917 0.235  -0.01
O 0.917 0.612 0.235  -0.01
O 0.385 0.721 0.749  -0.02
O 0.721 0.145 0.750  -0.02
O 0.145 0.385 0.750  -0.02